First-principles (PBE-GGA) data for crystalline LiSm2Al2Ni5 at its relaxed geometry, as listed in Alexandria via LeMat-Bulk.

a = 9.9026 Å, b = 9.9026 Å, c = 3.3216 Å
α = 90.00°, β = 90.00°, γ = 90.00°
Last column: nearest neighbours and their distance in Å.
Fractional positions:
Li 0.0000 0.0000 0.0000  8 Ni 2.73
Li 0.5000 0.5000 0.0000  8 Ni 2.73
Sm 0.1775 0.3225 0.0000  3 Al 2.83-3.01, 10 Ni 2.99-3.11
Sm 0.3225 0.8225 0.0000  3 Al 2.83-3.01, 10 Ni 2.99-3.11
Sm 0.6775 0.1775 0.0000  3 Al 2.83-3.01, 10 Ni 2.99-3.11
Sm 0.8225 0.6775 0.0000  3 Al 2.83-3.01, 10 Ni 2.99-3.11
Al 0.1207 0.6207 0.0000  6 Ni 2.37-2.44
Al 0.3793 0.1207 0.0000  6 Ni 2.37-2.44
Al 0.6207 0.8793 0.0000  6 Ni 2.37-2.44
Al 0.8793 0.3793 0.0000  6 Ni 2.37-2.44
Ni 0.0000 0.5000 0.5000  4 Al 2.37
Ni 0.0589 0.7897 0.5000  2 Al 2.44, 2 Li 2.73
Ni 0.2103 0.0589 0.5000  2 Al 2.44, 2 Li 2.73
Ni 0.2897 0.5589 0.5000  2 Al 2.44, 2 Li 2.73
Ni 0.4411 0.2897 0.5000  2 Al 2.44, 2 Li 2.73
Ni 0.5000 0.0000 0.5000  4 Al 2.37
Ni 0.5589 0.7103 0.5000  2 Al 2.44, 2 Li 2.73
Ni 0.7103 0.4411 0.5000  2 Al 2.44, 2 Li 2.73
Ni 0.7897 0.9411 0.5000  2 Al 2.44, 2 Li 2.73
Ni 0.9411 0.2103 0.5000  2 Al 2.44, 2 Li 2.73

Results
SG	P4/mbm
energy relative to the elements	-0.21	eV per atom